No. 1
The following is a DFT calculation (PBE) of a geometry-optimized SrTlIn2Pt structure.

CIF file:
```
data_SrTlIn2Pt
_space_group_name_H-M_alt 'P 1'
_space_group_IT_number 1
_cell_length_a 5.224
_cell_length_b 5.224
_cell_length_c 5.784
_cell_angle_alpha 90.00
_cell_angle_beta 90.00
_cell_angle_gamma 90.00
loop_
_space_group_symop_operation_xyz
'x,y,z'
loop_
_atom_site_label
_atom_site_type_symbol
_atom_site_fract_x
_atom_site_fract_y
_atom_site_fract_z
Sr1 Sr 0.000 0.000 0.500
In1 In 0.500 0.000 0.000
In2 In 0.000 0.500 0.000
Tl1 Tl 0.500 0.500 0.500
Pt1 Pt 0.000 0.000 0.000
```

Calculated values
The symmetry is No. 123. Its formation energy is -0.373 eV/atom.


No. 2
The following is a DFT calculation (PBE) of a geometry-optimized Sr2TmIn3Pt4 structure.

CIF file:
```
data_Sr2TmIn3Pt4
_space_group_name_H-M_alt 'P 1'
_space_group_IT_number 1
_cell_length_a 4.646
_cell_length_b 4.646
_cell_length_c 11.352
_cell_angle_alpha 90.00
_cell_angle_beta 90.00
_cell_angle_gamma 90.00
loop_
_space_group_symop_operation_xyz
'x,y,z'
loop_
_atom_site_label
_atom_site_type_symbol
_atom_site_fract_x
_atom_site_fract_y
_atom_site_fract_z
In1 In 0.000 0.500 0.123
In2 In 0.500 0.000 0.877
In3 In 0.000 0.000 0.500
Sr1 Sr 0.000 0.500 0.775
Sr2 Sr 0.500 0.000 0.225
Pt1 Pt 0.500 0.000 0.639
Pt2 Pt 0.500 0.500 0.000
Pt3 Pt 0.000 0.000 0.000
Pt4 Pt 0.000 0.500 0.361
Tm1 Tm 0.500 0.500 0.500
```

Calculated values
The symmetry is No. 115. Its formation energy is -0.778 eV/atom.


Q: Which formula does entry 1 have?
A: SrTlIn2Pt